Record 1
Computed, not measured: a relaxed structure of ZrIn2H at the GGA-PBE level of DFT.

Calculated values
- Relative energy among the computed polymorphs: 0.0 meV/atom
- VASP energy: -4.623 eV per atom
- Space-group type: P-6m2 (187)
- N(E_F): 1.43 states/eV per cell

a b c (Å): 3.399 3.399 7.782
angles (deg): 90.00 90.00 120.00
Fractional positions:
Zr1 0.000 0.000 0.000
In1 0.667 0.333 0.317
In2 0.667 0.333 0.683
H1 0.333 0.667 0.000

---

Record 2
Computed, not measured: a relaxed structure of Ac3GaB2N6 at the GGA-PBE level of DFT.

Calculated values
- VASP energy: -7.444 eV per atom
- Formation energy without anion corrections: -0.89 eV per atom
- Space-group type: P-3m1 (164)
- N(E_F): 0.27 states/eV per cell

a b c (Å): 5.564 5.564 6.516
angles (deg): 90.00 90.00 120.00
Fractional positions:
Ac1 0.000 0.000 0.000
Ac2 0.333 0.667 0.677
Ac3 0.667 0.333 0.323
Ga1 0.000 0.000 0.500
B1 0.333 0.667 0.276
B2 0.667 0.333 0.724
N1 0.180 0.360 0.293
N2 0.180 0.820 0.293
N3 0.360 0.180 0.707
N4 0.640 0.820 0.293
N5 0.820 0.180 0.707
N6 0.820 0.640 0.707

---

Record 3
Computed, not measured: a relaxed structure of CsMg3Zn at the GGA-PBE level of DFT.

Calculated values
- Relative energy among the computed polymorphs: 0.0 meV/atom
- VASP energy: -1.134 eV per atom
- Space-group type: Pm-3m (221)
- N(E_F): 2.83 states/eV per cell
- ΔE_f: 0.2480 eV per atom

a b c (Å): 5.393 5.393 5.393
angles (deg): 90.00 90.00 90.00
Fractional positions:
Cs1 0.000 0.000 0.000
Mg1 0.000 0.500 0.500
Mg2 0.500 0.000 0.500
Mg3 0.500 0.500 0.000
Zn1 0.500 0.500 0.500